# K2LaInNi | the Alexandria database | meta-GGA SCAN | single point on PBEsol structure
# DOS(E_F) in states/eV per cell: 4.41
# Calculated total energy in eV/f.u.: -107.645
data_K2LaInNi
_chemical_formula_sum 'K2 La1 In1 Ni1'
_cell_length_a 5.816
_cell_length_b 5.816
_cell_length_c 5.203
_cell_angle_alpha 90.00
_cell_angle_beta 90.00
_cell_angle_gamma 90.00
_space_group_name_H-M_alt 'P 4/m m m'
_space_group_IT_number 123
_space_group_name_Hall '-P 4 2'
loop_
_atom_site_label
_atom_site_type_symbol
_atom_site_fract_x
_atom_site_fract_y
_atom_site_fract_z
K1 K 0.000 0.500 0.000
La1 La 0.000 0.000 0.500
In1 In 0.500 0.500 0.500
Ni1 Ni 0.000 0.000 0.000